VASP calculation (GGA-PBE) on an optimized crystal structure of Re5Rh.

Computed properties:
Energy above the lowest structure with this stoichiometry = 4 meV/atom
Final energy = -11.662 eV/atom
N(E_F) = 5.1 states/eV per cell
ΔE_f = -6.1 kJ per mole of atoms
Symmetry = Amm2, No. 38

Cell lengths 2.774, 7.365, 4.435 Å; angles 90.00, 90.00, 79.14 degrees
Atoms (fractional coordinates):
Re  0.000  0.000  0.000
Re  0.666  0.668  0.000
Re  0.334  0.333  0.000
Re  0.556  0.888  0.500
Re  0.224  0.552  0.500
Rh  0.887  0.226  0.500